Record 1
VASP calculation (meta-GGA SCAN) on Na2AlIrN at its PBEsol-relaxed geometry.

abc: 5.441 5.441 4.623
angles: 90.00 90.00 90.00
Space group P4/mmm (No. 123)
Symmetry-distinct sites (fractional):
Na 0.000 0.500 0.000
Al 0.000 0.000 0.500
Ir 0.000 0.000 0.000
N 0.500 0.500 0.500

Computed properties:
Energy relative to the elements, uncorrected = 1142.4 meV/atom

=====

Record 2
VASP calculation (meta-GGA SCAN) on Tb3Ga8Ir3 at its PBEsol-relaxed geometry.

abc: 4.153 9.677 12.226
angles: 90.00 90.00 90.00
Space group Immm (No. 71)
Symmetry-distinct sites (fractional):
Tb 0.000 0.000 0.000
Tb 0.000 0.000 0.328
Ga 0.000 0.284 0.124
Ga 0.000 0.370 0.330
Ir 0.000 0.220 0.500
Ir 0.000 0.500 0.000

Computed properties:
DFT formation energy = -0.797 eV per atom

=====

Quick rundown of N(E_F), same order as above: 1.6; 13.4 states/eV/cell
Quick rundown of spin magnetization, same order as above: 2.4; 0.0 μB per cell